# TlAs2Au, relaxed, DFT GGA-PBE
data_TlAs2Au
_chemical_formula_sum 'Tl1 As2 Au1'
_cell_length_a 3.520
_cell_length_b 3.520
_cell_length_c 7.370
_cell_angle_alpha 90.00
_cell_angle_beta 90.00
_cell_angle_gamma 90.00
_space_group_name_H-M_alt 'P 1'
_space_group_IT_number 1
loop_
_space_group_symop_operation_xyz
'x,y,z'
loop_
_atom_site_label
_atom_site_type_symbol
_atom_site_fract_x
_atom_site_fract_y
_atom_site_fract_z
_atom_site_occupancy
As1 As 0.000 0.000 0.083 1
As2 As 0.500 0.500 0.228 1
Au1 Au 0.000 0.000 0.463 1
Tl1 Tl 0.500 0.500 0.726 1
# - DOS(E_F) (states/eV per atom) = 0.4782
# - calculated total energy (eV per cell) = -14.23
# - relative energy among the computed polymorphs (meV per atom) = 266



# TlAs2Au, relaxed, DFT GGA-PBE
data_TlAs2Au
_chemical_formula_sum 'Tl1 As2 Au1'
_cell_length_a 4.059
_cell_length_b 4.702
_cell_length_c 5.536
_cell_angle_alpha 76.15
_cell_angle_beta 90.00
_cell_angle_gamma 90.00
_space_group_name_H-M_alt 'P 1'
_space_group_IT_number 1
loop_
_space_group_symop_operation_xyz
'x,y,z'
loop_
_atom_site_label
_atom_site_type_symbol
_atom_site_fract_x
_atom_site_fract_y
_atom_site_fract_z
_atom_site_occupancy
Au1 Au 0.500 0.250 0.250 1
As1 As 0.000 0.990 0.101 1
As2 As 0.000 0.510 0.399 1
Tl1 Tl 0.500 0.750 0.750 1
# - DOS(E_F) (states/eV per atom) = 0.3995
# - calculated total energy (eV per cell) = -15.16
# - relative energy among the computed polymorphs (meV per atom) = 32